No. 1
Crystalline PtCl3F at its relaxed geometry. Source: the Alexandria database, functional PBE-GGA.

a = 4.6256 Å, b = 4.6256 Å, c = 4.6256 Å
α = 90.00°, β = 90.00°, γ = 90.00°
Closest atoms and distances in Å follow each position.
Space group Pm-3m (No. 221)
Inequivalent atoms, fractional coordinates:
Pt1 0.0000 0.0000 0.0000 [1 per cell]  12 Cl 3.27
Cl1 0.0000 0.5000 0.5000 [3 per cell]  2 F 2.31
F1 0.5000 0.5000 0.5000 [1 per cell]  6 Cl 2.31

ΔE to the lowest computed polymorph: 1555 meV per atom
density: 5.376 g/cm³
DOS(E_F): 1.734 states/eV/atom
formation energy from raw total energies: 0.981 eV/atom

No. 2
Crystalline BaCuIrS2 at its relaxed geometry. Source: the Alexandria database, functional PBE-GGA.

a = 5.6629 Å, b = 5.6629 Å, c = 5.3279 Å
α = 90.00°, β = 90.00°, γ = 90.00°
Closest atoms and distances in Å follow each position.
Space group P4/mmm (No. 123)
Inequivalent atoms, fractional coordinates:
Ba1 0.0000 0.0000 0.0000 [1 per cell]  2 Cu 2.66, 4 S 2.83
Cu1 0.0000 0.0000 0.5000 [1 per cell]  2 Ba 2.66
Ir1 0.5000 0.5000 0.5000 [1 per cell]  8 S 3.89, 4 Cu 4.00
S1 0.0000 0.5000 0.0000 [2 per cell]  2 Ba 2.83

density: 4.444 g/cm³
DOS(E_F): 1.537 states/eV/atom
formation energy from raw total energies: 1.721 eV/atom

No. 3
Crystalline CsBa2ErI8 at its relaxed geometry. Source: the Alexandria database, functional PBE-GGA.

a = 7.6821 Å, b = 7.9146 Å, c = 10.6840 Å
α = 90.02°, β = 90.07°, γ = 90.07°
Closest atoms and distances in Å follow each position.
Space group P-1 (No. 2)
Inequivalent atoms, fractional coordinates:
Cs1 0.0000 0.0000 0.0000 [1 per cell]  6 I 3.71-3.85
Ba1 0.5003 0.5000 0.2554 [2 per cell]  6 I 3.41-3.61
Er1 0.0000 0.0000 0.5000 [1 per cell]  6 I 3.01-3.10
I1 0.2296 0.8513 0.3006 [2 per cell]  1 Er 3.01
I2 0.2304 0.8523 0.6996 [2 per cell]  1 Er 3.01
I3 0.2343 0.3191 0.4996 [2 per cell]  1 Er 3.10
I4 0.2542 0.3984 0.9999 [2 per cell]  2 Ba 3.41, 1 Cs 3.71

density: 4.065 g/cm³
DOS(E_F): 0.000 states/eV/atom
formation energy from raw total energies: -1.567 eV/atom

No. 4
Crystalline SbTe2OsC at its relaxed geometry. Source: the Alexandria database, functional PBE-GGA.

a = 5.2959 Å, b = 5.2959 Å, c = 5.0660 Å
α = 90.00°, β = 90.00°, γ = 90.00°
Closest atoms and distances in Å follow each position.
Space group P4/mmm (No. 123)
Inequivalent atoms, fractional coordinates:
Sb1 0.0000 0.0000 0.0000 [1 per cell]  2 Os 2.53
Te1 0.0000 0.5000 0.5000 [2 per cell]  2 Os 2.65
Os1 0.0000 0.0000 0.5000 [1 per cell]  2 Sb 2.53, 4 Te 2.65
C1 0.5000 0.5000 0.0000 [1 per cell]  8 Te 3.66, 4 Sb 3.74

ΔE to the lowest computed polymorph: 470 meV per atom
density: 6.769 g/cm³
DOS(E_F): 1.252 states/eV/atom
formation energy from raw total energies: 1.956 eV/atom